Record 1
Ca2SnN | PBE | relaxed

Values from the calculation:
Calculated density = 3.36 g cm⁻³
Calculated volume = 420.9 Å³ per cell
Size of the total moment = 0.000 μB/atom
ΔE_f (raw) = -0.3800 eV per atom

abc: 7.1125 7.1125 8.3204
angles: 90.00 90.00 90.00
Space group I-42d (No. 122)
Unique sites:
1 Ca 0.1325 0.7500 0.1250 x8
2 Sn 0.0000 0.0000 0.5000 x4
3 N 0.0000 0.0000 0.0000 x4

---

Record 2
Ca5Sn2N5 | PBE | relaxed

Values from the calculation:
Calculated density = 4.17 g cm⁻³
Calculated volume = 404.5 Å³ per cell
Size of the total moment = 0.069 μB/atom
ΔE_f (raw) = -0.5427 eV per atom

abc: 11.6999 3.3928 11.2999
angles: 90.00 115.59 90.00
Space group Cm (No. 8)
Unique sites:
1 Ca 0.0000 0.0000 0.0000 x2
2 Ca 0.0511 0.5000 0.2668 x2
3 Ca 0.1100 0.5000 0.5681 x2
4 Ca 0.2813 0.5000 0.1413 x2
5 Ca 0.3968 0.5000 0.6904 x2
6 Sn 0.2132 0.0000 0.8660 x2
7 Sn 0.3259 0.0000 0.4017 x2
8 N 0.0905 0.5000 0.8644 x2
9 N 0.1697 0.0000 0.2065 x2
10 N 0.2534 0.0000 0.7033 x2
11 N 0.3778 0.0000 0.0452 x2
12 N 0.4560 0.5000 0.3730 x2

---

Record 3
CaSnN | PBE | relaxed

Values from the calculation:
Calculated density = 4.82 g cm⁻³
Calculated volume = 238.3 Å³ per cell
Size of the total moment = 0.000 μB/atom
ΔE_f (raw) = -0.4672 eV per atom

abc: 12.0671 3.3551 5.9601
angles: 90.00 99.05 90.00
Space group Cm (No. 8)
Unique sites:
1 Ca 0.0000 0.0000 0.0000 x2
2 Ca 0.2265 0.0000 0.6754 x2
3 Sn 0.2360 0.5000 0.1591 x2
4 Sn 0.4722 0.0000 0.5259 x2
5 N 0.1051 0.5000 0.8404 x2
6 N 0.3759 0.5000 0.6448 x2